(1)
A relaxed CsPaNb crystal. Source: the Open Quantum Materials Database, functional PBE-GGA.

extended XYZ file:
```
3
Lattice="0.000 3.461 3.461 3.461 0.000 3.461 3.461 3.461 0.000" Properties=species:S:1:pos:R:3 pbc="T T T"
Cs 0.000 0.000 0.000
Pa 1.731 1.731 1.731
Nb 5.192 5.192 5.192
```

Summary:
E above lowest polymorph in eV per atom: 0.4928
Space-group type: F-43m (216)

=====

(2)
A relaxed CsPaNb crystal. Source: the Open Quantum Materials Database, functional PBE-GGA.

extended XYZ file:
```
3
Lattice="0.000 3.570 3.570 3.570 0.000 3.570 3.570 3.570 0.000" Properties=species:S:1:pos:R:3 pbc="T T T"
Cs 0.000 0.000 0.000
Pa 3.570 3.570 3.570
Nb 1.785 1.785 1.785
```

Summary:
E above lowest polymorph in eV per atom: 0.0000
Space-group type: F-43m (216)

=====

(3)
A relaxed CsNbPd crystal. Source: the Open Quantum Materials Database, functional PBE-GGA.

extended XYZ file:
```
3
Lattice="0.000 3.326 3.326 3.326 0.000 3.326 3.326 3.326 0.000" Properties=species:S:1:pos:R:3 pbc="T T T"
Cs 0.000 0.000 0.000
Nb 1.663 1.663 1.663
Pd 3.326 3.326 3.326
```

Summary:
Space-group type: F-43m (216)

=====

(4)
A relaxed CsNbPd crystal. Source: the Open Quantum Materials Database, functional PBE-GGA.

extended XYZ file:
```
3
Lattice="0.000 3.329 3.329 3.329 0.000 3.329 3.329 3.329 0.000" Properties=species:S:1:pos:R:3 pbc="T T T"
Cs 0.000 0.000 0.000
Nb 4.994 4.994 4.994
Pd 1.665 1.665 1.665
```

Summary:
Space-group type: F-43m (216)

=====

(5)
A relaxed CsNbPdS3 crystal. Source: the Open Quantum Materials Database, functional PBE-GGA.

extended XYZ file:
```
12
Lattice="8.622 0.000 0.000 0.000 3.704 0.000 -4.195 0.000 9.007" Properties=species:S:1:pos:R:3 pbc="T T T"
Cs -1.016 0.926 2.497
Cs 5.444 2.778 6.510
Nb 3.304 0.926 1.496
Nb 1.123 2.778 7.511
Pd 2.416 2.778 3.421
Pd 2.011 0.926 5.586
S 1.627 2.778 1.158
S 0.450 2.778 5.199
S -0.650 0.926 7.917
S 5.077 2.778 1.090
S 3.978 0.926 3.808
S 2.800 0.926 7.849
```

Summary:
Space-group type: P2_1/m (11)

=====

(6)
A relaxed CsNbPdSe3 crystal. Source: the Open Quantum Materials Database, functional PBE-GGA.

extended XYZ file:
```
12
Lattice="8.895 0.000 0.000 0.000 3.812 0.000 -4.241 0.000 9.339" Properties=species:S:1:pos:R:3 pbc="T T T"
Cs -1.033 0.953 2.611
Cs 5.686 2.859 6.728
Nb 3.393 0.953 1.606
Nb 1.261 2.859 7.733
Pd 2.499 2.859 3.554
Pd 2.155 0.953 5.786
Se 1.624 2.859 1.192
Se 0.468 2.859 5.324
Se -0.619 0.953 8.219
Se 5.272 2.859 1.120
Se 4.185 0.953 4.016
Se 3.029 0.953 8.147
```

Summary:
Space-group type: P2_1/m (11)

=====

(7)
A relaxed CsPrNb crystal. Source: the Open Quantum Materials Database, functional PBE-GGA.

extended XYZ file:
```
3
Lattice="0.000 3.943 3.943 3.943 0.000 3.943 3.943 3.943 0.000" Properties=species:S:1:pos:R:3 pbc="T T T"
Cs 0.000 0.000 0.000
Pr 1.972 1.972 1.972
Nb 3.943 3.943 3.943
```

Summary:
Space-group type: F-43m (216)

=====

(8)
A relaxed CsNbTe3Pt crystal. Source: the Open Quantum Materials Database, functional PBE-GGA.

extended XYZ file:
```
12
Lattice="9.635 0.000 0.000 0.000 4.006 0.000 -4.203 0.000 9.790" Properties=species:S:1:pos:R:3 pbc="T T T"
Cs -1.110 1.002 2.721
Cs 6.542 3.005 7.069
Nb 3.704 1.002 1.779
Nb 1.728 3.005 8.010
Te 1.757 3.005 1.351
Te 0.747 3.005 5.472
Te -0.317 1.002 8.630
Te 5.749 3.005 1.160
Te 4.685 1.002 4.317
Te 3.675 1.002 8.439
Pt 2.924 3.005 3.755
Pt 2.509 1.002 6.034
```

Summary:
Space-group type: P2_1/m (11)

=====

no.,electronic total energy (eV/cell),size of the total moment (μB/atom)
1,-13.23,0.00
2,-14.71,0.04
3,-11.91,0.02
4,-10.00,0.04
5,-68.29,0.00
6,-63.42,0.00
7,-10.44,1.60
8,-59.97,0.00